Entry 1:
# Al3GeB (GGA-PBE, relaxed)
# Polymorph energy (0 for the lowest one) in meV per atom: 0
# Raw total energy in eV/cell: -21.4
# Energy of formation in eV/atom: 0.232
data_Al3GeB
_space_group_name_H-M_alt 'P m -3 m'
_space_group_IT_number 221
_space_group_name_Hall '-P 4 2 3'
_cell_length_a 4.205
_cell_length_b 4.205
_cell_length_c 4.205
_cell_angle_alpha 90.00
_cell_angle_beta 90.00
_cell_angle_gamma 90.00
loop_
_atom_site_label
_atom_site_type_symbol
_atom_site_fract_x
_atom_site_fract_y
_atom_site_fract_z
Al1 Al 0.000 0.000 0.500
Ge1 Ge 0.500 0.500 0.500
B1 B 0.000 0.000 0.000



Entry 2:
# La4PrAg2 (GGA-PBE, relaxed)
# Polymorph energy (0 for the lowest one) in meV per atom: 0
# Raw total energy in eV/cell: -123.4
# Energy of formation in eV/atom: -0.094
data_La4PrAg2
_space_group_name_H-M_alt 'C m c m'
_space_group_IT_number 63
_space_group_name_Hall '-C 2c 2'
_cell_length_a 5.615
_cell_length_b 9.723
_cell_length_c 16.370
_cell_angle_alpha 90.00
_cell_angle_beta 90.00
_cell_angle_gamma 90.00
loop_
_atom_site_label
_atom_site_type_symbol
_atom_site_fract_x
_atom_site_fract_y
_atom_site_fract_z
La1 La 0.000 0.000 0.000
La2 La 0.000 0.333 0.137
La3 La 0.000 0.334 0.750
Pr1 Pr 0.000 0.001 0.750
Ag1 Ag 0.000 0.334 0.560



Entry 3:
# Nd5Tm4Sc2 (GGA-PBE, relaxed)
# Polymorph energy (0 for the lowest one) in meV per atom: 150
# Raw total energy in eV/cell: -103.8
# Energy of formation in eV/atom: 0.228
data_Nd5Tm4Sc2
_space_group_name_H-M_alt 'I m m m'
_space_group_IT_number 71
_space_group_name_Hall '-I 2 2'
_cell_length_a 3.449
_cell_length_b 11.238
_cell_length_c 18.739
_cell_angle_alpha 90.00
_cell_angle_beta 90.00
_cell_angle_gamma 90.00
loop_
_atom_site_label
_atom_site_type_symbol
_atom_site_fract_x
_atom_site_fract_y
_atom_site_fract_z
Nd1 Nd 0.000 0.000 0.000
Nd2 Nd 0.000 0.219 0.324
Tm1 Tm 0.000 0.223 0.500
Tm2 Tm 0.000 0.500 0.089
Sc1 Sc 0.000 0.500 0.278



Entry 4:
# AlAsPt2 (GGA-PBE, relaxed)
# Polymorph energy (0 for the lowest one) in meV per atom: 195
# Raw total energy in eV/cell: -43.8
# Energy of formation in eV/atom: -0.353
data_AlAsPt2
_space_group_name_H-M_alt 'I 4/m m m'
_space_group_IT_number 139
_space_group_name_Hall '-I 4 2'
_cell_length_a 4.215
_cell_length_b 4.215
_cell_length_c 7.091
_cell_angle_alpha 90.00
_cell_angle_beta 90.00
_cell_angle_gamma 90.00
loop_
_atom_site_label
_atom_site_type_symbol
_atom_site_fract_x
_atom_site_fract_y
_atom_site_fract_z
Al1 Al 0.000 0.000 0.000
As1 As 0.000 0.000 0.500
Pt1 Pt 0.000 0.500 0.250



Entry 5:
# Tb2Pm2HoEr2 (GGA-PBE, relaxed)
# Raw total energy in eV/cell: -94.4
# Energy of formation in eV/atom: 0.140
data_Tb2Pm2HoEr2
_space_group_name_H-M_alt 'R -3 m'
_space_group_IT_number 166
_space_group_name_Hall '-R 3 2"'
_cell_length_a 5.6765
_cell_length_b 5.6765
_cell_length_c 24.4058
_cell_angle_alpha 90.00
_cell_angle_beta 90.00
_cell_angle_gamma 120.00
loop_
_atom_site_label
_atom_site_type_symbol
_atom_site_fract_x
_atom_site_fract_y
_atom_site_fract_z
Tb1 Tb 0.0000 0.0000 0.2160
Pm1 Pm 0.0000 0.0000 0.3613
Ho1 Ho 0.0000 0.0000 0.5000
Er1 Er 0.0000 0.0000 0.0732



Entry 6:
# BaRe3Te (GGA-PBE, relaxed)
# Polymorph energy (0 for the lowest one) in meV per atom: 0
# Raw total energy in eV/cell: -32.4
# Formation energy from raw total energies in eV/f.u.: 9.98
data_BaRe3Te
_space_group_name_H-M_alt 'P m -3 m'
_space_group_IT_number 221
_space_group_name_Hall '-P 4 2 3'
_cell_length_a 5.005
_cell_length_b 5.005
_cell_length_c 5.005
_cell_angle_alpha 90.00
_cell_angle_beta 90.00
_cell_angle_gamma 90.00
loop_
_atom_site_label
_atom_site_type_symbol
_atom_site_fract_x
_atom_site_fract_y
_atom_site_fract_z
Ba1 Ba 0.000 0.000 0.000
Re1 Re 0.000 0.500 0.500
Te1 Te 0.500 0.500 0.500



Entry 7:
# ScMoIrW (GGA-PBE, relaxed)
# Raw total energy in eV/cell: -160.6
# Energy of formation in eV/atom: -0.296
data_ScMoIrW
_space_group_name_H-M_alt 'F -4 3 m'
_space_group_IT_number 216
_space_group_name_Hall 'F -4 2 3'
_cell_length_a 6.372
_cell_length_b 6.372
_cell_length_c 6.372
_cell_angle_alpha 90.00
_cell_angle_beta 90.00
_cell_angle_gamma 90.00
loop_
_atom_site_label
_atom_site_type_symbol
_atom_site_fract_x
_atom_site_fract_y
_atom_site_fract_z
Sc1 Sc 0.000 0.000 0.000
Mo1 Mo 0.250 0.250 0.750
Ir1 Ir 0.250 0.250 0.250
W1 W 0.000 0.000 0.500



Entry 8:
# Tm12AlCu6 (GGA-PBE, relaxed)
# Raw total energy in eV/cell: -172.0
# Energy of formation in eV/atom: -0.211
data_Tm12AlCu6
_space_group_name_H-M_alt 'I m -3'
_space_group_IT_number 204
_space_group_name_Hall '-I 2 2 3'
_cell_length_a 9.667
_cell_length_b 9.667
_cell_length_c 9.667
_cell_angle_alpha 90.00
_cell_angle_beta 90.00
_cell_angle_gamma 90.00
loop_
_atom_site_label
_atom_site_type_symbol
_atom_site_fract_x
_atom_site_fract_y
_atom_site_fract_z
Tm1 Tm 0.000 0.188 0.294
Al1 Al 0.000 0.000 0.000
Cu1 Cu 0.000 0.374 0.500